# CaNi2Ru | the Alexandria database | PBE | relaxed
data_CaNi2Ru
_chemical_formula_sum 'Ca1 Ni2 Ru1'
_symmetry_space_group_name_H-M 'P 1'
_symmetry_Int_Tables_number 1
_cell_length_a 4.916
_cell_length_b 4.916
_cell_length_c 4.916
_cell_angle_alpha 133.83
_cell_angle_beta 133.83
_cell_angle_gamma 67.36
loop_
_symmetry_equiv_pos_as_xyz
'x,y,z'
loop_
_atom_site_label
_atom_site_type_symbol
_atom_site_fract_x
_atom_site_fract_y
_atom_site_fract_z
Ca1 Ca 0.000 0.000 0.000
Ni1 Ni 0.250 0.750 0.500
Ni2 Ni 0.500 0.500 0.000
Ru1 Ru 0.750 0.250 0.500
# Calculated volume (Å³/cell): 60.8
# Formation energy from the elements (eV/atom): 0.39
# Relative energy among the computed polymorphs (eV per formula unit): 0.85


# CaNiRu2 | the Alexandria database | PBE | relaxed
data_CaNiRu2
_chemical_formula_sum 'Ca1 Ni1 Ru2'
_symmetry_space_group_name_H-M 'P 1'
_symmetry_Int_Tables_number 1
_cell_length_a 4.464
_cell_length_b 4.464
_cell_length_c 4.464
_cell_angle_alpha 60.00
_cell_angle_beta 60.00
_cell_angle_gamma 60.00
loop_
_symmetry_equiv_pos_as_xyz
'x,y,z'
loop_
_atom_site_label
_atom_site_type_symbol
_atom_site_fract_x
_atom_site_fract_y
_atom_site_fract_z
Ca1 Ca 0.000 0.000 0.000
Ni1 Ni 0.500 0.500 0.500
Ru1 Ru 0.250 0.250 0.250
Ru2 Ru 0.750 0.750 0.750
# Calculated volume (Å³/cell): 62.9
# Formation energy from the elements (eV/atom): 0.64
# Relative energy among the computed polymorphs (eV per formula unit): 1.58


# CaNiRu2 | the Alexandria database | PBE | relaxed
data_CaNiRu2
_chemical_formula_sum 'Ca1 Ni1 Ru2'
_symmetry_space_group_name_H-M 'P 1'
_symmetry_Int_Tables_number 1
_cell_length_a 5.106
_cell_length_b 5.106
_cell_length_c 5.106
_cell_angle_alpha 136.03
_cell_angle_beta 136.03
_cell_angle_gamma 63.94
loop_
_symmetry_equiv_pos_as_xyz
'x,y,z'
loop_
_atom_site_label
_atom_site_type_symbol
_atom_site_fract_x
_atom_site_fract_y
_atom_site_fract_z
Ca1 Ca 0.000 0.000 0.000
Ni1 Ni 0.500 0.500 0.000
Ru1 Ru 0.250 0.750 0.500
Ru2 Ru 0.750 0.250 0.500
# Calculated volume (Å³/cell): 63.3
# Formation energy from the elements (eV/atom): 0.52
# Relative energy among the computed polymorphs (eV per formula unit): 1.08


# CaNiRu2 | the Alexandria database | PBE | relaxed
data_CaNiRu2
_chemical_formula_sum 'Ca1 Ni1 Ru2'
_symmetry_space_group_name_H-M 'P 1'
_symmetry_Int_Tables_number 1
_cell_length_a 9.128
_cell_length_b 9.128
_cell_length_c 9.128
_cell_angle_alpha 17.82
_cell_angle_beta 17.82
_cell_angle_gamma 17.82
loop_
_symmetry_equiv_pos_as_xyz
'x,y,z'
loop_
_atom_site_label
_atom_site_type_symbol
_atom_site_fract_x
_atom_site_fract_y
_atom_site_fract_z
Ca1 Ca 0.000 0.000 0.000
Ni1 Ni 0.500 0.500 0.500
Ru1 Ru 0.240 0.240 0.240
Ru2 Ru 0.760 0.760 0.760
# Calculated volume (Å³/cell): 62.2
# Formation energy from the elements (eV/atom): 0.60
# Relative energy among the computed polymorphs (eV per formula unit): 1.41


# CaNiRu3 | the Alexandria database | PBE | relaxed
data_CaNiRu3
_chemical_formula_sum 'Ca1 Ni1 Ru3'
_symmetry_space_group_name_H-M 'P 1'
_symmetry_Int_Tables_number 1
_cell_length_a 4.583
_cell_length_b 4.583
_cell_length_c 4.583
_cell_angle_alpha 90.00
_cell_angle_beta 90.00
_cell_angle_gamma 90.00
loop_
_symmetry_equiv_pos_as_xyz
'x,y,z'
loop_
_atom_site_label
_atom_site_type_symbol
_atom_site_fract_x
_atom_site_fract_y
_atom_site_fract_z
Ca1 Ca 0.000 0.000 0.000
Ni1 Ni 0.500 0.500 0.500
Ru1 Ru 0.000 0.000 0.500
Ru2 Ru 0.000 0.500 0.000
Ru3 Ru 0.500 0.000 0.000
# Calculated volume (Å³/cell): 96.2
# Formation energy from the elements (eV/atom): 2.58
# Relative energy among the computed polymorphs (eV per formula unit): 7.87


# CaNiRu2 | the Alexandria database | PBE | relaxed
data_CaNiRu2
_chemical_formula_sum 'Ca1 Ni1 Ru2'
_symmetry_space_group_name_H-M 'P 1'
_symmetry_Int_Tables_number 1
_cell_length_a 5.434
_cell_length_b 5.434
_cell_length_c 2.717
_cell_angle_alpha 102.37
_cell_angle_beta 102.37
_cell_angle_gamma 120.95
loop_
_symmetry_equiv_pos_as_xyz
'x,y,z'
loop_
_atom_site_label
_atom_site_type_symbol
_atom_site_fract_x
_atom_site_fract_y
_atom_site_fract_z
Ca1 Ca 0.000 0.000 0.000
Ni1 Ni 0.500 0.500 0.000
Ru1 Ru 0.000 0.500 0.500
Ru2 Ru 0.500 0.000 0.500
# Calculated volume (Å³/cell): 62.0
# Formation energy from the elements (eV/atom): 0.45
# Relative energy among the computed polymorphs (eV per formula unit): 0.80


# CaNi4Ru | the Alexandria database | PBE | relaxed
data_CaNi4Ru
_chemical_formula_sum 'Ca1 Ni4 Ru1'
_symmetry_space_group_name_H-M 'P 1'
_symmetry_Int_Tables_number 1
_cell_length_a 4.883
_cell_length_b 4.883
_cell_length_c 4.883
_cell_angle_alpha 60.00
_cell_angle_beta 60.00
_cell_angle_gamma 60.00
loop_
_symmetry_equiv_pos_as_xyz
'x,y,z'
loop_
_atom_site_label
_atom_site_type_symbol
_atom_site_fract_x
_atom_site_fract_y
_atom_site_fract_z
Ca1 Ca 0.000 0.000 0.000
Ni1 Ni 0.126 0.625 0.625
Ni2 Ni 0.625 0.126 0.625
Ni3 Ni 0.625 0.625 0.126
Ni4 Ni 0.625 0.625 0.625
Ru1 Ru 0.250 0.250 0.250
# Calculated volume (Å³/cell): 82.3
# Formation energy from the elements (eV/atom): 0.12


# CaNi2Ru | the Alexandria database | PBE | relaxed
data_CaNi2Ru
_chemical_formula_sum 'Ca1 Ni2 Ru1'
_symmetry_space_group_name_H-M 'P 1'
_symmetry_Int_Tables_number 1
_cell_length_a 4.400
_cell_length_b 4.400
_cell_length_c 4.400
_cell_angle_alpha 60.00
_cell_angle_beta 60.00
_cell_angle_gamma 60.00
loop_
_symmetry_equiv_pos_as_xyz
'x,y,z'
loop_
_atom_site_label
_atom_site_type_symbol
_atom_site_fract_x
_atom_site_fract_y
_atom_site_fract_z
Ca1 Ca 0.000 0.000 0.000
Ni1 Ni 0.500 0.500 0.500
Ni2 Ni 0.750 0.750 0.750
Ru1 Ru 0.250 0.250 0.250
# Calculated volume (Å³/cell): 60.2
# Formation energy from the elements (eV/atom): 0.42
# Relative energy among the computed polymorphs (eV per formula unit): 0.95


# Ca4NiRu | the Alexandria database | PBE | relaxed
data_Ca4NiRu
_chemical_formula_sum 'Ca4 Ni1 Ru1'
_symmetry_space_group_name_H-M 'P 1'
_symmetry_Int_Tables_number 1
_cell_length_a 6.031
_cell_length_b 6.031
_cell_length_c 6.031
_cell_angle_alpha 60.00
_cell_angle_beta 60.00
_cell_angle_gamma 60.00
loop_
_symmetry_equiv_pos_as_xyz
'x,y,z'
loop_
_atom_site_label
_atom_site_type_symbol
_atom_site_fract_x
_atom_site_fract_y
_atom_site_fract_z
Ca1 Ca 0.376 0.376 0.376
Ca2 Ca 0.376 0.376 0.873
Ca3 Ca 0.376 0.873 0.376
Ca4 Ca 0.873 0.376 0.376
Ni1 Ni 0.000 0.000 0.000
Ru1 Ru 0.750 0.750 0.750
# Calculated volume (Å³/cell): 155.1
# Formation energy from the elements (eV/atom): 1.07


# CaNi2Ru | the Alexandria database | PBE | relaxed
data_CaNi2Ru
_chemical_formula_sum 'Ca1 Ni2 Ru1'
_symmetry_space_group_name_H-M 'P 1'
_symmetry_Int_Tables_number 1
_cell_length_a 8.914
_cell_length_b 8.914
_cell_length_c 8.914
_cell_angle_alpha 18.14
_cell_angle_beta 18.14
_cell_angle_gamma 18.14
loop_
_symmetry_equiv_pos_as_xyz
'x,y,z'
loop_
_atom_site_label
_atom_site_type_symbol
_atom_site_fract_x
_atom_site_fract_y
_atom_site_fract_z
Ca1 Ca 0.000 0.000 0.000
Ni1 Ni 0.243 0.243 0.243
Ni2 Ni 0.757 0.757 0.757
Ru1 Ru 0.500 0.500 0.500
# Calculated volume (Å³/cell): 60.0
# Formation energy from the elements (eV/atom): 0.56
# Relative energy among the computed polymorphs (eV per formula unit): 1.55


# CaNiRu2 | the Alexandria database | PBE | relaxed
data_CaNiRu2
_chemical_formula_sum 'Ca1 Ni1 Ru2'
_symmetry_space_group_name_H-M 'P 1'
_symmetry_Int_Tables_number 1
_cell_length_a 4.625
_cell_length_b 4.625
_cell_length_c 4.625
_cell_angle_alpha 126.22
_cell_angle_beta 126.22
_cell_angle_gamma 79.53
loop_
_symmetry_equiv_pos_as_xyz
'x,y,z'
loop_
_atom_site_label
_atom_site_type_symbol
_atom_site_fract_x
_atom_site_fract_y
_atom_site_fract_z
Ca1 Ca 0.000 0.000 0.000
Ni1 Ni 0.250 0.750 0.500
Ru1 Ru 0.500 0.500 0.000
Ru2 Ru 0.750 0.250 0.500
# Calculated volume (Å³/cell): 62.2
# Formation energy from the elements (eV/atom): 0.41
# Relative energy among the computed polymorphs (eV per formula unit): 0.66


# CaNi3Ru | the Alexandria database | PBE | relaxed
data_CaNi3Ru
_chemical_formula_sum 'Ca1 Ni3 Ru1'
_symmetry_space_group_name_H-M 'P 1'
_symmetry_Int_Tables_number 1
_cell_length_a 4.402
_cell_length_b 4.402
_cell_length_c 4.402
_cell_angle_alpha 90.00
_cell_angle_beta 90.00
_cell_angle_gamma 90.00
loop_
_symmetry_equiv_pos_as_xyz
'x,y,z'
loop_
_atom_site_label
_atom_site_type_symbol
_atom_site_fract_x
_atom_site_fract_y
_atom_site_fract_z
Ca1 Ca 0.000 0.000 0.000
Ni1 Ni 0.000 0.000 0.500
Ni2 Ni 0.000 0.500 0.000
Ni3 Ni 0.500 0.000 0.000
Ru1 Ru 0.500 0.500 0.500
# Calculated volume (Å³/cell): 85.3
# Formation energy from the elements (eV/atom): 1.78


# CaNi2Ru2 | the Alexandria database | PBE | relaxed
data_CaNi2Ru2
_chemical_formula_sum 'Ca1 Ni2 Ru2'
_symmetry_space_group_name_H-M 'P 1'
_symmetry_Int_Tables_number 1
_cell_length_a 5.805
_cell_length_b 5.805
_cell_length_c 5.805
_cell_angle_alpha 139.04
_cell_angle_beta 139.04
_cell_angle_gamma 59.31
loop_
_symmetry_equiv_pos_as_xyz
'x,y,z'
loop_
_atom_site_label
_atom_site_type_symbol
_atom_site_fract_x
_atom_site_fract_y
_atom_site_fract_z
Ca1 Ca 0.000 0.000 0.000
Ni1 Ni 0.250 0.750 0.500
Ni2 Ni 0.750 0.250 0.500
Ru1 Ru 0.387 0.387 0.000
Ru2 Ru 0.613 0.613 0.000
# Calculated volume (Å³/cell): 83.2
# Formation energy from the elements (eV/atom): 0.21
# Relative energy among the computed polymorphs (eV per formula unit): 0.02


# CaNi2Ru | the Alexandria database | PBE | relaxed
data_CaNi2Ru
_chemical_formula_sum 'Ca1 Ni2 Ru1'
_symmetry_space_group_name_H-M 'P 1'
_symmetry_Int_Tables_number 1
_cell_length_a 8.751
_cell_length_b 8.751
_cell_length_c 8.751
_cell_angle_alpha 18.70
_cell_angle_beta 18.70
_cell_angle_gamma 18.70
loop_
_symmetry_equiv_pos_as_xyz
'x,y,z'
loop_
_atom_site_label
_atom_site_type_symbol
_atom_site_fract_x
_atom_site_fract_y
_atom_site_fract_z
Ca1 Ca 0.000 0.000 0.000
Ni1 Ni 0.243 0.243 0.243
Ni2 Ni 0.505 0.505 0.505
Ru1 Ru 0.764 0.764 0.764
# Calculated volume (Å³/cell): 60.2
# Formation energy from the elements (eV/atom): 0.55
# Relative energy among the computed polymorphs (eV per formula unit): 1.50


# CaNi2Ru | the Alexandria database | PBE | relaxed
data_CaNi2Ru
_chemical_formula_sum 'Ca1 Ni2 Ru1'
_symmetry_space_group_name_H-M 'P 1'
_symmetry_Int_Tables_number 1
_cell_length_a 5.471
_cell_length_b 5.471
_cell_length_c 5.471
_cell_angle_alpha 150.98
_cell_angle_beta 130.68
_cell_angle_gamma 58.24
loop_
_symmetry_equiv_pos_as_xyz
'x,y,z'
loop_
_atom_site_label
_atom_site_type_symbol
_atom_site_fract_x
_atom_site_fract_y
_atom_site_fract_z
Ca1 Ca 0.000 0.000 0.000
Ni1 Ni 0.509 0.509 0.000
Ni2 Ni 0.727 0.227 0.500
Ru1 Ru 0.285 0.785 0.500
# Calculated volume (Å³/cell): 59.8
# Formation energy from the elements (eV/atom): 0.28
# Relative energy among the computed polymorphs (eV per formula unit): 0.41


no.,total DFT energy (no corrections) (eV/atom),total magnetization (μB/f.u.)
1,-5.320,2.11
2,-5.940,3.33
3,-6.064,0.10
4,-5.982,0.00
5,-4.547,0.03
6,-6.136,0.00
7,-5.618,3.99
8,-5.295,2.15
9,-2.773,0.25
10,-5.146,0.00
11,-6.170,0.00
12,-3.942,3.13
13,-6.212,0.00
14,-5.157,0.18
15,-5.431,0.18